1.
Density functional theory data (GGA-PBE) for an optimized crystal structure of Ti4AlH8.

a = 4.7317 Å, b = 4.7317 Å, c = 4.7317 Å
α = 90.00°, β = 90.00°, γ = 90.00°
Last column: nearest neighbours and their distance in Å.
Sites, in units of the cell vectors:
Ti (0.0000, 0.0000, 0.0000)  8 H 2.00
Ti (0.0000, 0.5000, 0.5000)  8 H 2.06
Ti (0.5000, 0.0000, 0.5000)  8 H 2.06
Ti (0.5000, 0.5000, 0.0000)  8 H 2.06
Al (0.5000, 0.5000, 0.5000)  8 H 2.09
H (0.2446, 0.2446, 0.2446)  4 Ti 2.00-2.06, 1 Al 2.09
H (0.2446, 0.2446, 0.7554)  4 Ti 2.00-2.06, 1 Al 2.09
H (0.2446, 0.7554, 0.2446)  4 Ti 2.00-2.06, 1 Al 2.09
H (0.2446, 0.7554, 0.7554)  4 Ti 2.00-2.06, 1 Al 2.09
H (0.7554, 0.2446, 0.2446)  4 Ti 2.00-2.06, 1 Al 2.09
H (0.7554, 0.2446, 0.7554)  4 Ti 2.00-2.06, 1 Al 2.09
H (0.7554, 0.7554, 0.2446)  4 Ti 2.00-2.06, 1 Al 2.09
H (0.7554, 0.7554, 0.7554)  4 Ti 2.00-2.06, 1 Al 2.09

Output
DOS at the Fermi energy	0.5313	states/eV per atom
mass density	3.55	g/cm³

***

2.
Density functional theory data (GGA-PBE) for an optimized crystal structure of SrAu2I.

a = 7.6078 Å, b = 7.6078 Å, c = 7.6078 Å
α = 90.00°, β = 90.00°, γ = 90.00°
Last column: nearest neighbours and their distance in Å.
Sites, in units of the cell vectors:
Sr (0.0000, 0.0000, 0.0000)  8 Au 3.29
Sr (0.0000, 0.5000, 0.5000)  8 Au 3.29
Sr (0.5000, 0.0000, 0.5000)  8 Au 3.29
Sr (0.5000, 0.5000, 0.0000)  8 Au 3.29
Au (0.2500, 0.2500, 0.2500)  4 I 3.29, 4 Sr 3.29
Au (0.2500, 0.2500, 0.7500)  4 I 3.29, 4 Sr 3.29
Au (0.2500, 0.7500, 0.2500)  4 I 3.29, 4 Sr 3.29
Au (0.2500, 0.7500, 0.7500)  4 I 3.29, 4 Sr 3.29
Au (0.7500, 0.2500, 0.2500)  4 I 3.29, 4 Sr 3.29
Au (0.7500, 0.2500, 0.7500)  4 I 3.29, 4 Sr 3.29
Au (0.7500, 0.7500, 0.2500)  4 I 3.29, 4 Sr 3.29
Au (0.7500, 0.7500, 0.7500)  4 I 3.29, 4 Sr 3.29
I (0.0000, 0.0000, 0.5000)  8 Au 3.29
I (0.0000, 0.5000, 0.0000)  8 Au 3.29
I (0.5000, 0.0000, 0.0000)  8 Au 3.29
I (0.5000, 0.5000, 0.5000)  8 Au 3.29

Output
DOS at the Fermi energy	0.6806	states/eV per atom
E above lowest polymorph	0.057	eV per atom
mass density	9.18	g/cm³
energy relative to the elements, uncorrected	-0.368	eV/atom

***

Computed values of total energy (unit: eV/atom) for the preceding records, in sequence: -4.870, -2.815.